Record 1
The following is a DFT calculation (PBE-GGA) of Nb3AgRh after structural relaxation.

a b c (Å): 4.8208 4.8208 4.8208
angles (deg): 90.00 90.00 90.00
With the nearest neighbours (Å) after each atom.
Sites, in units of the cell vectors:
Nb 0.5000 0.0000 0.0000  2 Rh 2.41
Nb 0.0000 0.5000 0.0000  2 Rh 2.41
Nb 0.0000 0.0000 0.5000  2 Rh 2.41
Ag 0.5000 0.5000 0.5000  12 Nb 3.41
Rh 0.0000 0.0000 0.0000  6 Nb 2.41

Properties
The value obtained for the energy above the most stable polymorph in this dataset is 0 meV per atom. The formation energy is 1.04 eV per atom. The theoretical density comes out at 7.3 g/cm³.

Record 2
The following is a DFT calculation (PBE-GGA) of Nb2AgRh2 after structural relaxation.

a b c (Å): 7.6558 7.6558 2.9162
angles (deg): 90.00 90.00 90.00
With the nearest neighbours (Å) after each atom.
Sites, in units of the cell vectors:
Rh 0.3672 0.8672 0.0000  6 Nb 2.64-2.71, 3 Rh 2.88-2.92
Rh 0.8672 0.6328 0.0000  6 Nb 2.64-2.71, 3 Rh 2.88-2.92
Rh 0.6328 0.1328 0.0000  6 Nb 2.64-2.71, 3 Rh 2.88-2.92
Rh 0.1328 0.3672 0.0000  6 Nb 2.64-2.71, 3 Rh 2.88-2.92
Ag 0.5000 0.5000 0.0000  2 Ag 2.92, 4 Rh 2.99, 8 Nb 3.21
Ag 0.0000 0.0000 0.0000  2 Ag 2.92, 4 Rh 2.99, 8 Nb 3.21
Nb 0.1634 0.6634 0.5000  6 Rh 2.64-2.71, 2 Nb 2.92
Nb 0.3366 0.1634 0.5000  6 Rh 2.64-2.71, 2 Nb 2.92
Nb 0.8366 0.3366 0.5000  6 Rh 2.64-2.71, 2 Nb 2.92
Nb 0.6634 0.8366 0.5000  6 Rh 2.64-2.71, 2 Nb 2.92

Properties
The value obtained for the energy above the most stable polymorph in this dataset is 0 meV per atom. The formation energy is -0.21 eV per atom. The theoretical density comes out at 9.7 g/cm³.